# Mo6PSe8

A relaxed structure of Mo6PSe8 (PBE-GGA, Alexandria via LeMat-Bulk).

As for the symmetry: R-3, No. 148. The calculation puts the final energy at -6.90 eV per atom. The value obtained for the formation energy without anion corrections is -5.299 eV per formula unit.

Cell: 6.7385 6.7385 6.7385 Å, 91.66 91.66 91.66°
Last column: nearest neighbours and their distance in Å.
Atoms (fractional coordinates):
P (0.0000, 0.0000, 0.0000)  2 Se 2.52
Mo (0.5817, 0.4488, 0.7732)  5 Se 2.55-2.67, 4 Mo 2.73-2.78
Mo (0.4488, 0.7732, 0.5817)  5 Se 2.55-2.67, 4 Mo 2.73-2.78
Mo (0.7732, 0.5817, 0.4488)  5 Se 2.55-2.67, 4 Mo 2.73-2.78
Mo (0.4183, 0.5512, 0.2268)  5 Se 2.55-2.67, 4 Mo 2.73-2.78
Mo (0.5512, 0.2268, 0.4183)  5 Se 2.55-2.67, 4 Mo 2.73-2.78
Mo (0.2268, 0.4183, 0.5512)  5 Se 2.55-2.67, 4 Mo 2.73-2.78
Se (0.7779, 0.7779, 0.7779)  1 P 2.52, 3 Mo 2.55
Se (0.2221, 0.2221, 0.2221)  1 P 2.52, 3 Mo 2.55
Se (0.6326, 0.8738, 0.2561)  4 Mo 2.57-2.67
Se (0.8738, 0.2561, 0.6326)  4 Mo 2.57-2.67
Se (0.2561, 0.6326, 0.8738)  4 Mo 2.57-2.67
Se (0.3674, 0.1262, 0.7439)  4 Mo 2.57-2.67
Se (0.1262, 0.7439, 0.3674)  4 Mo 2.57-2.67
Se (0.7439, 0.3674, 0.1262)  4 Mo 2.57-2.67